The following is a PBE calculation of an optimized crystal structure of AgPt, from Alexandria via LeMat-Bulk.

D(E_F) in states/eV/f.u.: 1.3
Total energy in eV/cell: -25.634
Calculated density in g cm⁻³: 12.86

Unit cell a=9.579 b=9.579 c=9.579 alpha=163.28 beta=152.33 gamma=32.51
Sites, in units of the cell vectors:
Ag: 0.000 0.000 0.000
Ag: 0.370 0.870 0.500
Ag: 0.630 0.130 0.500
Pt: 0.237 0.237 0.000
Pt: 0.500 0.500 0.000
Pt: 0.763 0.763 0.000

---

The following is a PBE calculation of an optimized crystal structure of Ag4Pt, from Alexandria via LeMat-Bulk.

D(E_F) in states/eV/f.u.: 1.7
Total energy in eV/cell: -15.446
ΔE to the lowest computed polymorph in kJ/mol of formula units: 186
Calculated density in g cm⁻³: 9.04

Unit cell a=5.308 b=5.308 c=5.308 alpha=109.47 beta=109.47 gamma=109.47
Sites, in units of the cell vectors:
Ag: 0.000 0.000 0.500
Ag: 0.000 0.500 0.000
Ag: 0.500 0.000 0.000
Ag: 0.500 0.500 0.500
Pt: 0.000 0.000 0.000

---

The following is a PBE calculation of an optimized crystal structure of AgPt, from Alexandria via LeMat-Bulk.

D(E_F) in states/eV/f.u.: 2.4
Total energy in eV/cell: -27.608
Calculated density in g cm⁻³: 7.46

Unit cell a=7.051 b=7.051 c=7.051 alpha=109.47 beta=109.47 gamma=109.47
Sites, in units of the cell vectors:
Ag: 0.000 0.000 0.599
Ag: 0.000 0.599 0.000
Ag: 0.401 0.401 0.401
Ag: 0.599 0.000 0.000
Pt: 0.000 0.000 0.232
Pt: 0.000 0.232 0.000
Pt: 0.232 0.000 0.000
Pt: 0.768 0.768 0.768

---

The following is a PBE calculation of an optimized crystal structure of AgPt, from Alexandria via LeMat-Bulk.

D(E_F) in states/eV/f.u.: 2.0
Total energy in eV/cell: -34.623
Calculated density in g cm⁻³: 13.80

Unit cell a=4.469 b=4.469 c=8.430 alpha=90.00 beta=90.00 gamma=120.00
Sites, in units of the cell vectors:
Ag: 0.333 0.667 0.081
Ag: 0.333 0.667 0.419
Ag: 0.667 0.333 0.581
Ag: 0.667 0.333 0.919
Pt: 0.000 0.000 0.250
Pt: 0.000 0.000 0.750
Pt: 0.333 0.667 0.750
Pt: 0.667 0.333 0.250

---

The following is a PBE calculation of an optimized crystal structure of AgPt, from Alexandria via LeMat-Bulk.

D(E_F) in states/eV/f.u.: 2.2
Total energy in eV/cell: -13.977
Calculated density in g cm⁻³: 10.52

Unit cell a=4.550 b=4.550 c=5.335 alpha=90.00 beta=90.00 gamma=120.00
Sites, in units of the cell vectors:
Ag: 0.333 0.667 0.250
Ag: 0.667 0.333 0.750
Pt: 0.333 0.667 0.750
Pt: 0.667 0.333 0.250

---

The following is a PBE calculation of an optimized crystal structure of Ag3Pt, from Alexandria via LeMat-Bulk.

D(E_F) in states/eV/f.u.: 1.1
Total energy in eV/cell: -28.934
Calculated density in g cm⁻³: 12.53

Unit cell a=5.772 b=5.772 c=4.765 alpha=90.00 beta=90.00 gamma=120.00
Sites, in units of the cell vectors:
Ag: 0.168 0.336 0.250
Ag: 0.168 0.832 0.250
Ag: 0.336 0.168 0.750
Ag: 0.664 0.832 0.250
Ag: 0.832 0.168 0.750
Ag: 0.832 0.664 0.750
Pt: 0.333 0.667 0.750
Pt: 0.667 0.333 0.250

---

The following is a PBE calculation of an optimized crystal structure of Ag4Pt, from Alexandria via LeMat-Bulk.

D(E_F) in states/eV/f.u.: 1.8
Total energy in eV/cell: -15.435
ΔE to the lowest computed polymorph in kJ/mol of formula units: 187
Calculated density in g cm⁻³: 10.72

Unit cell a=7.503 b=7.503 c=7.503 alpha=151.33 beta=151.33 gamma=40.99
Sites, in units of the cell vectors:
Ag: 0.095 0.095 0.000
Ag: 0.250 0.750 0.500
Ag: 0.750 0.250 0.500
Ag: 0.905 0.905 0.000
Pt: 0.500 0.500 0.000

---

The following is a PBE calculation of an optimized crystal structure of Ag3Pt, from Alexandria via LeMat-Bulk.

D(E_F) in states/eV/f.u.: 1.4
Total energy in eV/cell: -14.531
Calculated density in g cm⁻³: 12.54

Unit cell a=2.848 b=4.164 c=5.793 alpha=90.00 beta=90.09 gamma=90.00
Sites, in units of the cell vectors:
Ag: 0.000 0.000 0.000
Ag: 0.499 0.500 0.254
Ag: 0.501 0.500 0.746
Pt: 0.000 0.000 0.500

---

The following is a PBE calculation of an optimized crystal structure of Ag3Pt4, from Alexandria via LeMat-Bulk.

D(E_F) in states/eV/f.u.: 6.5
Total energy in eV/cell: -32.417
ΔE to the lowest computed polymorph in kJ/mol of formula units: 0
Calculated density in g cm⁻³: 15.95

Unit cell a=4.933 b=4.933 c=6.384 alpha=97.52 beta=97.52 gamma=48.37
Sites, in units of the cell vectors:
Ag: 0.000 0.000 0.000
Ag: 0.575 0.575 0.715
Ag: 0.862 0.862 0.575
Pt: 0.150 0.150 0.422
Pt: 0.283 0.283 0.864
Pt: 0.435 0.435 0.284
Pt: 0.720 0.720 0.151

---

The following is a PBE calculation of an optimized crystal structure of Ag6Pt, from Alexandria via LeMat-Bulk.

D(E_F) in states/eV/f.u.: 1.6
Total energy in eV/cell: -22.777
Calculated density in g cm⁻³: 11.37

Unit cell a=7.137 b=7.137 c=7.137 alpha=37.89 beta=37.89 gamma=37.89
Sites, in units of the cell vectors:
Ag: 0.073 0.073 0.073
Ag: 0.214 0.214 0.214
Ag: 0.359 0.359 0.359
Ag: 0.641 0.641 0.641
Ag: 0.786 0.786 0.786
Ag: 0.927 0.927 0.927
Pt: 0.500 0.500 0.500

---

The following is a PBE calculation of an optimized crystal structure of Ag3Pt2, from Alexandria via LeMat-Bulk.

D(E_F) in states/eV/f.u.: 3.6
Total energy in eV/cell: -19.459
ΔE to the lowest computed polymorph in kJ/mol of formula units: 140
Calculated density in g cm⁻³: 12.35

Unit cell a=4.507 b=4.507 c=5.455 alpha=90.00 beta=90.00 gamma=120.00
Sites, in units of the cell vectors:
Ag: 0.000 0.000 0.000
Ag: 0.333 0.667 0.370
Ag: 0.667 0.333 0.630
Pt: 0.333 0.667 0.869
Pt: 0.667 0.333 0.131

---

The following is a PBE calculation of an optimized crystal structure of AgPt, from Alexandria via LeMat-Bulk.

D(E_F) in states/eV/f.u.: 4.2
Total energy in eV/cell: -6.316
Calculated density in g cm⁻³: 9.34

Unit cell a=4.238 b=4.238 c=4.238 alpha=60.00 beta=60.00 gamma=60.00
Sites, in units of the cell vectors:
Ag: 0.000 0.000 0.000
Pt: 0.250 0.250 0.250